[1]
Material: Y4MgCd3
Method: DFT, PBE
State: optimized geometry

Energy of formation from the pure elements: -300 meV per atom
Total DFT energy (no corrections): -4.074 eV/atom

Unit cell a=5.3167 b=5.3167 c=26.0724 alpha=90.00 beta=90.00 gamma=120.00
Space group R-3m (No. 166, hexagonal axes)
Asymmetric unit:
Y 0.0000 0.0000 0.1234 x6
Y 0.0000 0.0000 0.3738 x6
Mg 0.0000 0.0000 0.5000 x3
Cd 0.0000 0.0000 0.0000 x3
Cd 0.0000 0.0000 0.2460 x6

=====

[2]
Material: Y5MgCd3
Method: DFT, PBE
State: optimized geometry

Energy of formation from the pure elements: -214 meV per atom
Total DFT energy (no corrections): -4.288 eV/atom

Unit cell a=9.2376 b=9.2376 c=6.7117 alpha=90.00 beta=90.00 gamma=120.00
Space group P6_3/mcm (No. 193)
Asymmetric unit:
Y 0.0000 0.3103 0.2500 x6
Y 0.3333 0.6667 0.0000 x4
Mg 0.0000 0.0000 0.0000 x2
Cd 0.0000 0.3545 0.7500 x6

=====

[3]
Material: YMg4Cd
Method: DFT, PBE
State: optimized geometry

Polymorph energy (0 for the lowest one): 8.4 kJ/mol of atoms
Energy of formation from the pure elements: 5 meV per atom
Total DFT energy (no corrections): -2.288 eV/atom

Unit cell a=8.394 b=8.394 c=8.394 alpha=90.00 beta=90.00 gamma=90.00
Space group F-43m (No. 216)
Asymmetric unit:
Y 0.000 0.000 0.000 x4
Mg 0.125 0.125 0.375 x16
Cd 0.250 0.250 0.750 x4

=====

[4]
Material: Y2MgCd3
Method: DFT, PBE
State: optimized geometry

Polymorph energy (0 for the lowest one): 3.2 kJ/mol of atoms
Energy of formation from the pure elements: -290 meV per atom
Total DFT energy (no corrections): -3.168 eV/atom

Unit cell a=6.931 b=9.979 c=17.285 alpha=90.00 beta=90.00 gamma=90.00
Space group Fmmm (No. 69)
Asymmetric unit:
Y 0.248 0.000 0.000 x8
Y 0.250 0.250 0.250 x8
Mg 0.000 0.000 0.333 x8
Cd 0.000 0.000 0.167 x8
Cd 0.000 0.248 0.416 x16

=====

[5]
Material: Y3Mg2Cd2
Method: DFT, PBE
State: optimized geometry

Energy of formation from the pure elements: -165 meV per atom
Total DFT energy (no corrections): -3.653 eV/atom

Unit cell a=5.065 b=5.996 c=6.731 alpha=86.27 beta=89.93 gamma=65.04
Space group P-1 (No. 2)
Asymmetric unit:
Y 0.000 0.000 0.000 x1
Y 0.386 0.227 0.299 x2
Mg 0.307 0.386 0.811 x2
Cd 0.121 0.760 0.432 x2

=====

[6]
Material: Y11Mg9Cd4
Method: DFT, PBE
State: optimized geometry

Energy of formation from the pure elements: -165 meV per atom
Total DFT energy (no corrections): -3.878 eV/atom

Unit cell a=15.050 b=22.452 c=3.854 alpha=90.00 beta=90.00 gamma=90.00
Space group Cmmm (No. 65)
Asymmetric unit:
Y 0.000 0.000 0.000 x2
Y 0.000 0.168 0.000 x4
Y 0.000 0.349 0.000 x4
Y 0.239 0.500 0.000 x4
Y 0.241 0.171 0.000 x8
Mg 0.000 0.500 0.500 x2
Mg 0.116 0.257 0.500 x8
Mg 0.126 0.080 0.500 x8
Cd 0.143 0.408 0.500 x8

=====

[7]
Material: Y2MgCd3
Method: DFT, PBE
State: optimized geometry

Polymorph energy (0 for the lowest one): 0.0 kJ/mol of atoms
Energy of formation from the pure elements: -323 meV per atom
Total DFT energy (no corrections): -3.201 eV/atom

Unit cell a=5.1574 b=5.1574 c=12.7910 alpha=90.00 beta=90.00 gamma=120.00
Space group P-3m1 (No. 164)
Asymmetric unit:
Y 0.0000 0.0000 0.0000 x1
Y 0.0000 0.0000 0.5000 x1
Y 0.3333 0.6667 0.1755 x2
Mg 0.3333 0.6667 0.6629 x2
Cd 0.0000 0.0000 0.2544 x2
Cd 0.3333 0.6667 0.4196 x2
Cd 0.3333 0.6667 0.9149 x2

=====

[8]
Material: Y6Mg3Cd
Method: DFT, PBE
State: optimized geometry

Energy of formation from the pure elements: -97 meV per atom
Total DFT energy (no corrections): -4.546 eV/atom

Unit cell a=9.308 b=5.437 c=11.823 alpha=90.00 beta=108.91 gamma=90.00
Space group P2_1/m (No. 11)
Asymmetric unit:
Y 0.039 0.250 0.413 x2
Y 0.160 0.750 0.176 x2
Y 0.251 0.250 0.005 x2
Y 0.344 0.750 0.801 x2
Y 0.358 0.250 0.334 x2
Y 0.416 0.250 0.630 x2
Mg 0.037 0.750 0.881 x2
Mg 0.117 0.250 0.715 x2
Mg 0.269 0.750 0.480 x2
Cd 0.453 0.750 0.090 x2

=====

[9]
Material: Y2Mg2Cd
Method: DFT, PBE
State: optimized geometry

Polymorph energy (0 for the lowest one): 0.0 kJ/mol of atoms
Energy of formation from the pure elements: -129 meV per atom
Total DFT energy (no corrections): -3.535 eV/atom

Unit cell a=11.290 b=5.196 c=9.414 alpha=90.00 beta=108.93 gamma=90.00
Space group C2/m (No. 12)
Asymmetric unit:
Y 0.042 0.000 0.347 x4
Y 0.164 0.000 0.060 x4
Mg 0.023 0.500 0.858 x4
Mg 0.141 0.500 0.578 x4
Cd 0.245 0.500 0.291 x4

=====

[10]
Material: YMg2Cd6
Method: DFT, PBE
State: optimized geometry

Polymorph energy (0 for the lowest one): 0.0 kJ/mol of atoms
Energy of formation from the pure elements: -159 meV per atom
Total DFT energy (no corrections): -1.841 eV/atom

Unit cell a=3.304 b=8.424 c=14.950 alpha=90.00 beta=90.00 gamma=90.00
Space group Immm (No. 71)
Asymmetric unit:
Y 0.000 0.000 0.000 x2
Mg 0.000 0.500 0.146 x4
Cd 0.000 0.170 0.500 x4
Cd 0.000 0.325 0.325 x8

=====

[11]
Material: YMg2Cd4
Method: DFT, PBE
State: optimized geometry

Energy of formation from the pure elements: -150 meV per atom
Total DFT energy (no corrections): -2.052 eV/atom

Unit cell a=4.9469 b=4.9469 c=24.2610 alpha=90.00 beta=90.00 gamma=120.00
Space group R-3m (No. 166, hexagonal axes)
Asymmetric unit:
Y 0.0000 0.0000 0.0000 x3
Mg 0.0000 0.0000 0.2548 x6
Cd 0.0000 0.0000 0.1310 x6
Cd 0.0000 0.0000 0.3930 x6

=====

[12]
Material: YMg3Cd3
Method: DFT, PBE
State: optimized geometry

Polymorph energy (0 for the lowest one): 56.1 kJ/mol of atoms
Energy of formation from the pure elements: 457 meV per atom
Total DFT energy (no corrections): -1.543 eV/atom

Unit cell a=7.522 b=7.522 c=7.522 alpha=90.00 beta=90.00 gamma=90.00
Space group Pm-3n (No. 223)
Asymmetric unit:
Y 0.000 0.000 0.000 x2
Mg 0.000 0.250 0.500 x6
Cd 0.000 0.500 0.250 x6